Crystalline Sr2NbCu2 at its relaxed geometry, computed with GGA-PBE.

a b c (Å): 7.0415 7.0415 4.9656
angles (deg): 90.00 90.00 90.00
With the nearest neighbours (Å) after each atom.
Space group P4/mbm (No. 127)
Inequivalent atoms, fractional coordinates:
Sr 0.1806 0.3194 0.0000 x4  6 Cu 3.14-3.32
Nb 0.0000 0.0000 0.5000 x2  4 Cu 2.78
Cu 0.1267 0.6267 0.5000 x4  1 Cu 2.52, 2 Nb 2.78

## Properties
D(E_F)	0.744	states/eV per atom
size of the total moment	2.27	Bohr magnetons per cell
distance to the lowest polymorph of the same formula	0	meV per atom
calculated formation energy	0.42	eV per atom

=====

Crystalline AgBrN2O at its relaxed geometry, computed with GGA-PBE.

a b c (Å): 4.1468 4.1468 3.9182
angles (deg): 90.00 90.00 90.00
With the nearest neighbours (Å) after each atom.
Space group P4/mmm (No. 123)
Inequivalent atoms, fractional coordinates:
Ag 0.0000 0.0000 0.0000 x1  8 N 2.85, 4 O 2.93
Br 0.5000 0.5000 0.5000 x1  2 O 1.96, 4 N 2.07
N 0.0000 0.5000 0.5000 x2  2 Br 2.07
O 0.5000 0.5000 0.0000 x1  2 Br 1.96

## Properties
D(E_F)	0.311	states/eV per atom
size of the total moment	2.06	Bohr magnetons per cell
uncorrected formation energy	2.05	eV per atom

=====

Crystalline Ac2InGaPd6 at its relaxed geometry, computed with GGA-PBE.

a b c (Å): 12.2290 5.6766 8.7566
angles (deg): 90.00 133.28 90.00
With the nearest neighbours (Å) after each atom.
Space group C2/m (No. 12)
Inequivalent atoms, fractional coordinates:
Ac 0.2474 0.0000 0.2781 x4  7 Pd 3.12-3.35
In 0.0000 0.0000 0.5000 x2  6 Pd 2.69-2.70
Ga 0.0000 0.5000 0.0000 x2  6 Pd 2.53-2.57
Pd 0.0047 0.2522 0.2451 x8  1 Ga 2.53, 1 In 2.69, 3 Pd 2.76-2.81
Pd 0.2476 0.5000 0.0865 x4  1 Ga 2.57, 1 In 2.70, 4 Pd 2.76-2.81

## Properties
D(E_F)	0.388	states/eV per atom
size of the total moment	0.00	Bohr magnetons per cell
calculated formation energy	-0.71	eV per atom

=====

Crystalline Sm2Cu2Ni15 at its relaxed geometry, computed with GGA-PBE.

a b c (Å): 8.3583 8.3583 12.1268
angles (deg): 90.00 90.00 120.00
With the nearest neighbours (Å) after each atom.
Space group R-3m (No. 166, hexagonal axes)
Inequivalent atoms, fractional coordinates:
Sm 0.0000 0.0000 0.1577 x6  1 Cu 2.96, 18 Ni 2.97-3.22
Cu 0.0000 0.0000 0.4016 x6  1 Cu 2.39, 6 Ni 2.55-2.59
Ni 0.0000 0.2940 0.5000 x18  8 Ni 2.38-2.55
Ni 0.0000 0.5000 0.0000 x9  8 Ni 2.38-2.41, 2 Cu 2.55
Ni 0.0010 0.5005 0.3453 x18  8 Ni 2.41-2.55, 1 Cu 2.59

## Properties
D(E_F)	1.261	states/eV per atom
size of the total moment	16.12	Bohr magnetons per cell
calculated formation energy	-0.18	eV per atom

=====

Crystalline KBe2Co2 at its relaxed geometry, computed with GGA-PBE.

a b c (Å): 7.3827 7.3827 2.4556
angles (deg): 90.00 90.00 90.00
With the nearest neighbours (Å) after each atom.
Space group P4/mbm (No. 127)
Inequivalent atoms, fractional coordinates:
K 0.0000 0.0000 0.0000 x2  2 K 2.46
Be 0.1498 0.3502 0.0000 x4  4 Co 2.35, 2 Be 2.46
Co 0.1200 0.6200 0.5000 x4  4 Be 2.35, 3 Co 2.46-2.51

## Properties
D(E_F)	0.892	states/eV per atom
size of the total moment	3.77	Bohr magnetons per cell
distance to the lowest polymorph of the same formula	85	meV per atom
calculated formation energy	0.55	eV per atom

=====

Crystalline Be3GaSb at its relaxed geometry, computed with GGA-PBE.

a b c (Å): 4.6952 4.6952 4.6952
angles (deg): 90.00 90.00 90.00
With the nearest neighbours (Å) after each atom.
Space group Pm-3m (No. 221)
Inequivalent atoms, fractional coordinates:
Be 0.0000 0.0000 0.5000 x3  2 Sb 2.35
Ga 0.5000 0.5000 0.5000 x1  12 Be 3.32
Sb 0.0000 0.0000 0.0000 x1  6 Be 2.35

## Properties
D(E_F)	0.380	states/eV per atom
size of the total moment	0.00	Bohr magnetons per cell
distance to the lowest polymorph of the same formula	385	meV per atom
uncorrected formation energy	1.21	eV per atom

=====

Crystalline Ti5Te8 at its relaxed geometry, computed with GGA-PBE.

a b c (Å): 12.8236 7.8115 9.2430
angles (deg): 90.00 133.39 90.00
With the nearest neighbours (Å) after each atom.
Space group C2/m (No. 12)
Inequivalent atoms, fractional coordinates:
Ti 0.0000 0.0000 0.0000 x2  6 Te 2.78-2.79, 2 Ti 3.12
Ti 0.0000 0.2763 0.5000 x4  6 Te 2.72-2.88
Ti 0.2477 0.5000 0.9807 x4  6 Te 2.76-2.89
Te 0.0407 0.0000 0.3374 x4  4 Ti 2.79-2.88
Te 0.0501 0.5000 0.3277 x4  3 Ti 2.72-2.78
Te 0.2048 0.2580 0.1721 x8  4 Ti 2.76-2.89

## Properties
D(E_F)	0.721	states/eV per atom
size of the total moment	2.24	Bohr magnetons per cell
uncorrected formation energy	-0.72	eV per atom

=====

Crystalline Li2CaTb at its relaxed geometry, computed with GGA-PBE.

a b c (Å): 3.8162 3.8162 7.7374
angles (deg): 90.00 90.00 90.00
With the nearest neighbours (Å) after each atom.
Space group P4/mmm (No. 123)
Inequivalent atoms, fractional coordinates:
Li 0.0000 0.0000 0.2373 x2  4 Tb 3.26, 4 Ca 3.38
Ca 0.5000 0.5000 0.5000 x1  8 Li 3.38
Tb 0.5000 0.5000 0.0000 x1  8 Li 3.26

## Properties
D(E_F)	0.941	states/eV per atom
size of the total moment	0.00	Bohr magnetons per cell
distance to the lowest polymorph of the same formula	0	meV per atom
calculated formation energy	0.11	eV per atom